Record 1
{"formula": "BaMoAs2", "functional": "GGA-PBEsol", "state": "optimized geometry", "cell": [[-0.930, 0.301, -3.417], [3.022, -1.604, -0.964], [-3.618, -7.034, 0.365]], "species": ["As", "As", "Mo", "Ba"], "fractional_positions": [[0.000, 0.000, 0.878], [0.500, 0.500, 0.224], [0.500, 0.500, 0.925], [0.000, 0.000, 0.473]], "formation_enthalpy_0k_ev_per_atom": -0.008, "mass_density_g_cm3": 6.4}

Record 2
{"formula": "BaMoAs2", "functional": "GGA-PBEsol", "state": "optimized geometry", "cell": [[3.258, 0.000, 0.000], [1.629, 5.684, 0.465], [1.629, 1.709, 5.441]], "species": ["As", "As", "Mo", "Ba"], "fractional_positions": [[0.301, 0.699, 0.699], [0.699, 0.301, 0.301], [0.000, 0.500, 0.500], [0.500, 0.000, 0.000]], "formation_enthalpy_0k_ev_per_atom": -0.107, "mass_density_g_cm3": 6.5}